BaNaMg2Au (PBE-GGA, optimized geometry); formation energy from the elements = -187 meV per atom
1.0
-5.304 0.024 0.839
-0.205 -5.242 -1.147
0.932 -1.335 5.932
Mg Ba Au Na
2 1 1 1
direct
0.000 0.500 0.000
0.500 0.000 0.000
0.000 0.000 0.500
0.000 0.000 0.000
0.500 0.500 0.500


Entry from Alexandria: an optimized crystal structure of HgSbI2Br (PBE-GGA).

Cell and atoms, written as POSCAR:
```
HgSbI2Br
1.0
-5.397 -1.874 0.539
1.834 -5.417 -0.470
0.677 -0.275 5.822
Hg Br Sb I
1 1 1 2
direct
0.000 0.000 0.000
0.500 0.500 0.500
0.000 0.000 0.500
0.500 0.000 0.000
0.000 0.500 0.000
```


Number 1: final energy -10.64 eV for the cell shown. Number 2: final energy -7.21 eV for the cell shown.